The following is a PBE-GGA calculation of CaTb4Bi5 after structural relaxation, from the Alexandria database.

The structure in CIF format:
```
data_CaTb4Bi5
_symmetry_space_group_name_H-M 'I m m m'
_symmetry_Int_Tables_number 71
_symmetry_space_group_name_Hall '-I 2 2'
_cell_length_a 4.500
_cell_length_b 6.386
_cell_length_c 22.692
_cell_angle_alpha 90.00
_cell_angle_beta 90.00
_cell_angle_gamma 90.00
loop_
_atom_site_label
_atom_site_type_symbol
_atom_site_fract_x
_atom_site_fract_y
_atom_site_fract_z
Ca1 Ca 0.000 0.000 0.000
Tb1 Tb 0.000 0.000 0.200
Tb2 Tb 0.000 0.000 0.401
Bi1 Bi 0.000 0.500 0.000
Bi2 Bi 0.000 0.500 0.199
Bi3 Bi 0.000 0.500 0.396
```

Output
ΔE_f	-833	meV/atom



The following is a PBE-GGA calculation of LiMnAu after structural relaxation, from the Alexandria database.

The structure in CIF format:
```
data_LiMnAu
_symmetry_space_group_name_H-M 'P 3 m 1'
_symmetry_Int_Tables_number 156
_cell_length_a 4.3917
_cell_length_b 4.3917
_cell_length_c 2.7745
_cell_angle_alpha 90.00
_cell_angle_beta 90.00
_cell_angle_gamma 120.00
loop_
_symmetry_equiv_pos_as_xyz
'x,y,z'
'-y,x-y,z'
'-x+y,-x,z'
'-y,-x,z'
'-x+y,y,z'
'x,x-y,z'
loop_
_atom_site_label
_atom_site_type_symbol
_atom_site_fract_x
_atom_site_fract_y
_atom_site_fract_z
Li1 Li 0.0000 0.0000 0.0000
Mn1 Mn 0.3333 0.6667 0.2969
Au1 Au 0.6667 0.3333 0.7176
```

Output
ΔE_f	-63	meV/atom
energy above the most stable polymorph in this dataset	0.0373	eV per atom



The following is a PBE-GGA calculation of PrGdYPu after structural relaxation, from the Alexandria database.

The structure in CIF format:
```
data_PrGdYPu
_symmetry_space_group_name_H-M 'F -4 3 m'
_symmetry_Int_Tables_number 216
_symmetry_space_group_name_Hall 'F -4 2 3'
_cell_length_a 8.016
_cell_length_b 8.016
_cell_length_c 8.016
_cell_angle_alpha 90.00
_cell_angle_beta 90.00
_cell_angle_gamma 90.00
loop_
_atom_site_label
_atom_site_type_symbol
_atom_site_fract_x
_atom_site_fract_y
_atom_site_fract_z
Pr1 Pr 0.000 0.000 0.000
Gd1 Gd 0.000 0.000 0.500
Y1 Y 0.250 0.250 0.750
Pu1 Pu 0.250 0.250 0.250
```

Output
ΔE_f	211	meV/atom